Ac2PrTl3 | PBE | optimized geometry

Lattice parameters (Å, degrees): 4.054 4.054 12.273 90.00 90.00 90.00
Sites, in units of the cell vectors:
1 Ac 0.500 0.500 0.827
2 Tl 0.000 0.000 0.000
3 Tl 0.000 0.000 0.651
4 Pr 0.500 0.500 0.500
5 Tl 0.000 0.000 0.349
6 Ac 0.500 0.500 0.173

Results
- ΔE_f (eV per formula unit) = -2.2
- energy above the lowest structure with this stoichiometry (kJ per mole of atoms) = 0.0
- M_tot (μB/f.u.) = 0.00

***

Ac2Pr3Tl4 | PBE | optimized geometry

Lattice parameters (Å, degrees): 7.534 9.575 9.476 90.00 113.42 90.00
Sites, in units of the cell vectors:
1 Tl 0.185 0.962 0.370
2 Tl 0.315 0.462 0.630
3 Ac 0.610 0.925 0.219
4 Ac 0.110 0.575 0.219
5 Ac 0.390 0.075 0.781
6 Tl 0.785 0.250 0.070
7 Tl 0.685 0.538 0.370
8 Tl 0.285 0.250 0.070
9 Pr 0.968 0.250 0.436
10 Tl 0.215 0.750 0.930
11 Tl 0.815 0.038 0.630
12 Pr 0.500 0.500 0.000
13 Pr 0.532 0.750 0.564
14 Pr 0.032 0.750 0.564
15 Pr 0.468 0.250 0.436
16 Tl 0.715 0.750 0.930
17 Pr 0.000 0.000 0.000
18 Ac 0.890 0.425 0.781

Results
- ΔE_f (eV per formula unit) = -2.5
- energy above the lowest structure with this stoichiometry (kJ per mole of atoms) = 8.0
- M_tot (μB/f.u.) = 0.00

***

AcPr4Tl7 | PBE | optimized geometry

Lattice parameters (Å, degrees): 6.059 10.380 7.354 84.96 65.67 73.03
Sites, in units of the cell vectors:
1 Tl 0.925 0.323 0.826
2 Pr 0.588 0.219 0.605
3 Tl 0.782 0.896 0.540
4 Pr 0.264 0.340 0.131
5 Pr 0.736 0.660 0.869
6 Tl 0.500 0.000 0.000
7 Tl 0.636 0.455 0.272
8 Tl 0.364 0.545 0.728
9 Tl 0.075 0.677 0.174
10 Ac 0.000 0.000 0.000
11 Pr 0.412 0.781 0.395
12 Tl 0.218 0.104 0.460

Results
- ΔE_f (eV per formula unit) = -2.0
- M_tot (μB/f.u.) = 0.00

***

AcPr2TmTl2 | PBE | optimized geometry

Lattice parameters (Å, degrees): 4.907 8.590 9.638 90.00 90.00 90.00
Sites, in units of the cell vectors:
1 Pr 0.500 0.033 0.080
2 Pr 0.000 0.866 0.825
3 Tl 0.500 0.774 0.620
4 Tl 0.000 0.241 0.869
5 Ac 0.000 0.483 0.582
6 Ac 0.000 0.983 0.418
7 Pr 0.500 0.533 0.920
8 Tm 0.500 0.148 0.689
9 Pr 0.000 0.366 0.175
10 Tl 0.500 0.274 0.380
11 Tl 0.000 0.741 0.131
12 Tm 0.500 0.648 0.311

Results
- ΔE_f (eV per formula unit) = -1.5
- M_tot (μB/f.u.) = 1.92

***

AcPrTm2Tl4 | PBE | optimized geometry

Lattice parameters (Å, degrees): 5.518 5.518 9.586 73.27 73.27 60.00
Sites, in units of the cell vectors:
1 Tm 0.249 0.249 0.252
2 Tl 0.127 0.127 0.619
3 Tl 0.378 0.378 0.867
4 Tl 0.622 0.622 0.133
5 Tl 0.873 0.873 0.381
6 Pr 0.500 0.500 0.500
7 Tm 0.751 0.751 0.748
8 Ac 0.000 0.000 0.000

Results
- ΔE_f (eV per formula unit) = -2.5
- M_tot (μB/f.u.) = 0.00

***

AcPrYTl | PBE | optimized geometry

Lattice parameters (Å, degrees): 5.702 5.702 5.702 60.00 60.00 60.00
Sites, in units of the cell vectors:
1 Ac 0.500 0.500 0.500
2 Y 0.750 0.750 0.750
3 Tl 0.000 0.000 0.000
4 Pr 0.250 0.250 0.250

Results
- ΔE_f (eV per formula unit) = 0.0
- M_tot (μB/f.u.) = 0.01

***

Number 1: DOS(E_F) 1.00 states/eV per atom. Number 2: DOS(E_F) 0.85 states/eV per atom. Number 3: DOS(E_F) 0.88 states/eV per atom. Number 4: DOS(E_F) 0.87 states/eV per atom. Number 5: DOS(E_F) 0.79 states/eV per atom. Number 6: DOS(E_F) 1.87 states/eV per atom.